[1]
Material: CdInAg
Method: DFT, PBE-GGA
State: optimized geometry

Calculated values
Energy relative to the elements (eV per atom): 0.078
Uncorrected energy (eV/atom): -2.090
V (A^3/atom): 22.95
Space-group type: Amm2, No. 38
Size of the total moment (μB/atom): 0.000
Fermi-level density of states (states/eV per cell): 1.06
Crystal system: orthorhombic

Unit cell a=2.9826 b=4.9160 c=4.9160 alpha=72.81 beta=90.00 gamma=90.00
Closest atoms and distances in Å follow each position.
Element x y z (fractional)
Cd: 0.0000 0.0000 0.0000  3 In 2.86-3.12, 2 Ag 2.92, 2 Cd 2.98
In: 0.0000 0.6387 0.6387  3 Cd 2.86-3.12, 2 Ag 2.95, 2 In 2.98
Ag: 0.5000 0.3172 0.3172  2 Cd 2.92, 2 In 2.95, 2 Ag 2.98

---

[2]
Material: Cd8In2Ag3
Method: DFT, PBE-GGA
State: optimized geometry

Calculated values
Energy relative to the elements (eV per atom): 0.031
Uncorrected energy (eV/atom): -1.611
E above lowest polymorph (eV/f.u.): 0.00
V (A^3/atom): 23.73
Space-group type: P2/m, No. 10
Size of the total moment (μB/atom): 0.000
Fermi-level density of states (states/eV per cell): 2.65
Crystal system: monoclinic

Unit cell a=9.1383 b=4.1981 c=9.1415 alpha=90.00 beta=118.39 gamma=90.00
Closest atoms and distances in Å follow each position.
Element x y z (fractional)
Cd: 0.0947 0.0000 0.4054  2 Ag 2.92-2.93, 5 Cd 2.97-3.21, 2 In 3.08
Cd: 0.1228 0.5000 0.8817  2 In 2.92-3.11, 3 Ag 2.92-3.08, 4 Cd 3.13-3.21
Cd: 0.3699 0.0000 0.1304  4 Ag 2.93-2.98, 2 In 2.94, 4 Cd 3.13
Cd: 0.3810 0.5000 0.6231  2 In 2.92-3.11, 3 Ag 2.92-3.08, 4 Cd 3.13-3.20
Cd: 0.6190 0.5000 0.3769  2 In 2.92-3.11, 3 Ag 2.92-3.08, 4 Cd 3.13-3.20
Cd: 0.6301 0.0000 0.8696  4 Ag 2.93-2.98, 2 In 2.94, 4 Cd 3.13
Cd: 0.8772 0.5000 0.1183  2 In 2.92-3.11, 3 Ag 2.92-3.08, 4 Cd 3.13-3.21
Cd: 0.9053 0.0000 0.5946  2 Ag 2.92-2.93, 5 Cd 2.97-3.21, 2 In 3.08
In: 0.2388 0.5000 0.2618  8 Cd 2.92-3.11
In: 0.7612 0.5000 0.7382  8 Cd 2.92-3.11
Ag: 0.2690 0.0000 0.7695  8 Cd 2.92-2.98, 2 Ag 3.01
Ag: 0.5000 0.5000 0.0000  8 Cd 2.93-3.08, 4 Ag 3.01
Ag: 0.7310 0.0000 0.2305  8 Cd 2.92-2.98, 2 Ag 3.01

---

[3]
Material: Cd2InAg2
Method: DFT, PBE-GGA
State: optimized geometry

Calculated values
Energy relative to the elements (eV per atom): 0.087
Uncorrected energy (eV/atom): -1.967
E above lowest polymorph (eV/f.u.): 0.53
V (A^3/atom): 23.12
Space-group type: I4/mmm, No. 139
Size of the total moment (μB/atom): 0.000
Fermi-level density of states (states/eV per cell): 2.28
Crystal system: tetragonal

Unit cell a=7.6911 b=7.6911 c=7.6911 alpha=149.68 beta=149.68 gamma=43.41
Closest atoms and distances in Å follow each position.
Element x y z (fractional)
Cd: 0.1024 0.1024 0.0000  4 Ag 2.92, 1 Cd 2.93, 4 In 3.20
Cd: 0.8976 0.8976 0.0000  4 Ag 2.92, 1 Cd 2.93, 4 In 3.20
In: 0.5000 0.5000 0.0000  8 Cd 3.20
Ag: 0.2500 0.7500 0.5000  4 Ag 2.84, 4 Cd 2.92
Ag: 0.7500 0.2500 0.5000  4 Ag 2.84, 4 Cd 2.92

---

What did the first record say?
Material: CdInAg
Method: DFT, PBE-GGA
State: optimized geometry

Calculated values
Energy relative to the elements (eV per atom): 0.078
Uncorrected energy (eV/atom): -2.090
V (A^3/atom): 22.95
Space-group type: Amm2, No. 38
Size of the total moment (μB/atom): 0.000
Fermi-level density of states (states/eV per cell): 1.06
Crystal system: orthorhombic

Unit cell a=2.9826 b=4.9160 c=4.9160 alpha=72.81 beta=90.00 gamma=90.00
Closest atoms and distances in Å follow each position.
Element x y z (fractional)
Cd: 0.0000 0.0000 0.0000  3 In 2.86-3.12, 2 Ag 2.92, 2 Cd 2.98
In: 0.0000 0.6387 0.6387  3 Cd 2.86-3.12, 2 Ag 2.95, 2 In 2.98
Ag: 0.5000 0.3172 0.3172  2 Cd 2.92, 2 In 2.95, 2 Ag 2.98

---

- Number 3 is which compound?
  Cd2InAg2

---

- Which formula does entry 1 have?
  CdInAg

---

- uncorrected energy of number 1 (CdInAg)?
  -2.090 eV/atom